AgPb3W | Alexandria via LeMat-Bulk | PBE | optimized geometry; VASP energy = -4.617 eV per atom; E above lowest polymorph = 0.000 eV/atom; formation enthalpy at 0 K = 768 meV per atom; space-group type = No. 221; DOS(E_F) = 0.3270 states/eV/atom
1.0
5.416 0.000 0.000
0.000 5.416 0.000
0.000 0.000 5.416
Ag Pb W
1 3 1
direct
0.000 0.000 0.000
0.000 0.500 0.500
0.500 0.000 0.500
0.500 0.500 0.000
0.500 0.500 0.500

---

AgPbW2 | Alexandria via LeMat-Bulk | PBE | optimized geometry; VASP energy = -7.147 eV per atom; E above lowest polymorph = 0.378 eV/atom; formation enthalpy at 0 K = 969 meV per atom; space-group type = No. 119; DOS(E_F) = 0.7061 states/eV/atom
1.0
-2.138 2.138 3.990
2.138 -2.138 3.990
2.138 2.138 -3.990
Ag Pb W
1 1 2
direct
0.000 0.000 0.000
0.250 0.750 0.500
0.500 0.500 0.000
0.750 0.250 0.500

---

Ag2PbW | Alexandria via LeMat-Bulk | PBE | optimized geometry; VASP energy = -4.704 eV per atom; E above lowest polymorph = 0.284 eV/atom; formation enthalpy at 0 K = 887 meV per atom; space-group type = No. 123; DOS(E_F) = 0.7101 states/eV/atom
1.0
5.268 0.000 0.000
0.000 5.268 0.000
0.000 0.000 2.905
Ag Pb W
2 1 1
direct
0.000 0.500 0.000
0.500 0.000 0.000
0.000 0.000 0.500
0.500 0.500 0.500

---

AgPbW | Alexandria via LeMat-Bulk | PBE | optimized geometry; VASP energy = -5.497 eV per atom; E above lowest polymorph = 0.196 eV/atom; formation enthalpy at 0 K = 1007 meV per atom; space-group type = No. 44; DOS(E_F) = 0.8688 states/eV/atom
1.0
-1.481 2.086 4.874
1.481 -2.086 4.874
1.481 2.086 -4.874
Ag Pb W
1 1 1
direct
0.000 0.000 0.000
0.319 0.319 0.000
0.636 0.636 0.000

---

AgPbW2 | Alexandria via LeMat-Bulk | PBE | optimized geometry; VASP energy = -6.892 eV per atom; E above lowest polymorph = 0.633 eV/atom; formation enthalpy at 0 K = 1224 meV per atom; space-group type = No. 123; DOS(E_F) = 0.8579 states/eV/atom
1.0
4.974 0.000 0.000
0.000 4.974 0.000
0.000 0.000 2.955
Ag Pb W
1 1 2
direct
0.000 0.000 0.000
0.500 0.500 0.000
0.000 0.500 0.500
0.500 0.000 0.500

---

AgPb4W | Alexandria via LeMat-Bulk | PBE | optimized geometry; VASP energy = -3.957 eV per atom; formation enthalpy at 0 K = 1149 meV per atom; space-group type = No. 216; DOS(E_F) = 0.4854 states/eV/atom
1.0
0.000 4.434 4.434
4.434 0.000 4.434
4.434 4.434 0.000
Ag Pb W
1 4 1
direct
0.000 0.000 0.000
0.127 0.624 0.624
0.624 0.127 0.624
0.624 0.624 0.127
0.624 0.624 0.624
0.250 0.250 0.250

---

AgPb2W | Alexandria via LeMat-Bulk | PBE | optimized geometry; VASP energy = -4.894 eV per atom; E above lowest polymorph = 0.294 eV/atom; formation enthalpy at 0 K = 911 meV per atom; space-group type = No. 10; DOS(E_F) = 0.7134 states/eV/atom
1.0
3.018 0.000 0.000
0.000 5.057 0.000
-0.128 0.000 5.875
Ag Pb W
1 2 1
direct
0.000 0.000 0.000
0.248 0.500 0.745
0.752 0.500 0.255
0.500 0.000 0.500

---

AgPb3W | Alexandria via LeMat-Bulk | PBE | optimized geometry; VASP energy = -3.918 eV per atom; E above lowest polymorph = 0.700 eV/atom; formation enthalpy at 0 K = 1468 meV per atom; space-group type = No. 221; DOS(E_F) = 0.8057 states/eV/atom
1.0
5.417 0.000 0.000
0.000 5.417 0.000
0.000 0.000 5.417
Ag Pb W
1 3 1
direct
0.000 0.000 0.000
0.000 0.000 0.500
0.000 0.500 0.000
0.500 0.000 0.000
0.500 0.500 0.500

---

AgPbW2 | Alexandria via LeMat-Bulk | PBE | optimized geometry; VASP energy = -7.075 eV per atom; E above lowest polymorph = 0.450 eV/atom; formation enthalpy at 0 K = 1042 meV per atom; space-group type = No. 47; DOS(E_F) = 0.8832 states/eV/atom
1.0
2.869 0.000 0.000
0.000 4.474 0.000
0.000 0.000 6.023
Ag Pb W
1 1 2
direct
0.000 0.000 0.000
0.000 0.000 0.500
0.500 0.500 0.205
0.500 0.500 0.795

---

AgPbW2 | Alexandria via LeMat-Bulk | PBE | optimized geometry; VASP energy = -7.199 eV per atom; E above lowest polymorph = 0.326 eV/atom; formation enthalpy at 0 K = 918 meV per atom; space-group type = No. 71; DOS(E_F) = 0.6695 states/eV/atom
1.0
-1.634 2.324 4.845
1.634 -2.324 4.845
1.634 2.324 -4.845
Ag Pb W
1 1 2
direct
0.000 0.000 0.000
0.500 0.500 0.000
0.253 0.753 0.500
0.747 0.247 0.500

---

Ag2PbW | Alexandria via LeMat-Bulk | PBE | optimized geometry; VASP energy = -4.542 eV per atom; E above lowest polymorph = 0.445 eV/atom; formation enthalpy at 0 K = 1049 meV per atom; space-group type = No. 225; DOS(E_F) = 0.6535 states/eV/atom
1.0
0.000 3.437 3.437
3.437 0.000 3.437
3.437 3.437 0.000
Ag Pb W
2 1 1
direct
0.250 0.250 0.250
0.750 0.750 0.750
0.000 0.000 0.000
0.500 0.500 0.500

---

AgPb2W | Alexandria via LeMat-Bulk | PBE | optimized geometry; VASP energy = -5.067 eV per atom; E above lowest polymorph = 0.121 eV/atom; formation enthalpy at 0 K = 738 meV per atom; space-group type = No. 38; DOS(E_F) = 0.6798 states/eV/atom
1.0
4.971 0.000 0.000
0.000 1.587 5.571
0.000 -1.587 5.571
Ag Pb W
1 2 1
direct
0.000 0.000 0.000
0.000 0.269 0.269
0.500 0.579 0.579
0.500 0.851 0.851

---

Ag2PbW | Alexandria via LeMat-Bulk | PBE | optimized geometry; VASP energy = -4.760 eV per atom; E above lowest polymorph = 0.227 eV/atom; formation enthalpy at 0 K = 831 meV per atom; space-group type = No. 44; DOS(E_F) = 0.7266 states/eV/atom
1.0
-1.486 2.611 5.083
1.486 -2.611 5.083
1.486 2.611 -5.083
Ag Pb W
2 1 1
direct
0.000 0.000 0.000
0.760 0.260 0.500
0.264 0.764 0.500
0.521 0.521 0.000

---

AgPbW2 | Alexandria via LeMat-Bulk | PBE | optimized geometry; VASP energy = -7.375 eV per atom; E above lowest polymorph = 0.150 eV/atom; formation enthalpy at 0 K = 742 meV per atom; space-group type = No. 160; DOS(E_F) = 0.6331 states/eV/atom
1.0
1.472 0.850 10.241
-1.472 0.850 10.241
0.000 -1.700 10.241
Ag Pb W
1 1 2
direct
0.000 0.000 0.000
0.241 0.241 0.241
0.487 0.487 0.487
0.745 0.745 0.745

---

AgPbW | Alexandria via LeMat-Bulk | PBE | optimized geometry; VASP energy = -5.693 eV per atom; E above lowest polymorph = 0.000 eV/atom; formation enthalpy at 0 K = 811 meV per atom; space-group type = No. 156; DOS(E_F) = 0.7755 states/eV/atom
1.0
3.058 0.000 0.000
-1.529 2.649 0.000
0.000 0.000 7.527
Ag Pb W
1 1 1
direct
0.000 0.000 0.000
0.667 0.333 0.366
0.333 0.667 0.698